Crystalline Mg2AlCo2 at its relaxed geometry, computed with GGA-PBE.

Cell: 3.185 3.185 17.314 Å, 90.00 90.00 90.00°
Space group I4/mmm (No. 139)
Unique sites:
1 Mg 0.000 0.000 0.121 (multiplicity 4)
2 Al 0.000 0.000 0.500 (multiplicity 2)
3 Co 0.000 0.500 0.250 (multiplicity 4)

Computed properties:
Magnetization ... 0.5759 μB/atom
ΔE to the lowest computed polymorph ... 0.365 eV per atom
Total DFT energy (no corrections) ... -39.93 eV per cell
Energy of formation ... 0.236 eV/atom